PaMnSiRu, optimized geometry, DFT PBE; total magnetization = 0.000 μB/atom; crystal system = cubic; electronic total energy = -34.48 eV/cell; raw formation energy = -1.117 eV per formula unit
1.0
0.000 3.179 3.179
3.179 0.000 3.179
3.179 3.179 0.000
Pa Mn Si Ru
1 1 1 1
Direct
0.000 0.000 0.000
0.250 0.250 0.250
0.500 0.500 0.500
0.750 0.750 0.750